No. 1
Computed, not measured: a relaxed CaTm2Hf crystal at the GGA-PBE level of DFT.

Results
As for the spin magnetization: 0.00 μB/f.u. For the calculated total energy, the calculation gives -5.0720 eV/atom. As for the space-group type: No. 166. Its calculated formation energy is 3.52 kcal/mol of atoms.

a b c (Å): 11.7390 11.7390 11.7390
angles (deg): 16.87 16.87 16.87
Last column: nearest neighbours and their distance in Å.
Fractional coordinates of all 4 atoms:
Ca 0.0000 0.0000 0.0000  6 Ca 3.44, 6 Tm 3.78
Tm 0.2407 0.2407 0.2407  3 Hf 3.25, 6 Tm 3.44
Tm 0.7593 0.7593 0.7593  3 Hf 3.25, 6 Tm 3.44
Hf 0.5000 0.5000 0.5000  6 Tm 3.25, 6 Hf 3.44

No. 2
Computed, not measured: a relaxed CaHf3V crystal at the GGA-PBE level of DFT.

Results
As for the spin magnetization: 0.00 μB/f.u. For the calculated total energy, the calculation gives -7.5789 eV/atom. As for the space-group type: No. 221. Its calculated formation energy is 14.23 kcal/mol of atoms.

a b c (Å): 5.0145 5.0145 5.0145
angles (deg): 90.00 90.00 90.00
Last column: nearest neighbours and their distance in Å.
Fractional coordinates of all 5 atoms:
Ca 0.0000 0.0000 0.0000  12 Hf 3.55
Hf 0.0000 0.5000 0.5000  2 V 2.51
Hf 0.5000 0.0000 0.5000  2 V 2.51
Hf 0.5000 0.5000 0.0000  2 V 2.51
V 0.5000 0.5000 0.5000  6 Hf 2.51

No. 3
Computed, not measured: a relaxed CaHf3V crystal at the GGA-PBE level of DFT.

Results
As for the spin magnetization: 3.76 μB/f.u. For the calculated total energy, the calculation gives -6.1746 eV/atom. As for the space-group type: No. 221. Its calculated formation energy is 46.62 kcal/mol of atoms.

a b c (Å): 4.9870 4.9870 4.9870
angles (deg): 90.00 90.00 90.00
Last column: nearest neighbours and their distance in Å.
Fractional coordinates of all 5 atoms:
Ca 0.0000 0.0000 0.0000  6 Hf 2.49
Hf 0.0000 0.0000 0.5000  2 Ca 2.49
Hf 0.0000 0.5000 0.0000  2 Ca 2.49
Hf 0.5000 0.0000 0.0000  2 Ca 2.49
V 0.5000 0.5000 0.5000  12 Hf 3.53

No. 4
Computed, not measured: a relaxed CaHf3W crystal at the GGA-PBE level of DFT.

Results
As for the spin magnetization: 0.00 μB/f.u. For the calculated total energy, the calculation gives -8.2638 eV/atom. As for the space-group type: No. 221. Its calculated formation energy is 16.12 kcal/mol of atoms.

a b c (Å): 5.1656 5.1656 5.1656
angles (deg): 90.00 90.00 90.00
Last column: nearest neighbours and their distance in Å.
Fractional coordinates of all 5 atoms:
Ca 0.0000 0.0000 0.0000  12 Hf 3.65
Hf 0.0000 0.5000 0.5000  2 W 2.58
Hf 0.5000 0.0000 0.5000  2 W 2.58
Hf 0.5000 0.5000 0.0000  2 W 2.58
W 0.5000 0.5000 0.5000  6 Hf 2.58